Entry 1:
The following is a DFT calculation (PBE-GGA) of a relaxed Mg4TlCl crystal.

Lattice parameters (Å, degrees): 8.4047 8.4047 8.4047 90.00 90.00 90.00
With the nearest neighbours (Å) after each atom.
Space group F-43m (No. 216)
Inequivalent atoms, fractional coordinates:
Mg1 0.1241 0.1241 0.1241 [16 per cell]  6 Mg 2.95-2.99
Tl1 0.2500 0.2500 0.7500 [4 per cell]  12 Mg 3.48, 4 Cl 3.64
Cl1 0.0000 0.0000 0.5000 [4 per cell]  12 Mg 3.49, 4 Tl 3.64

- DFT total energy: -11.02 eV per formula unit
- M_tot: 0.00 Bohr magnetons per cell
- Crystal system: cubic
- DOS at the Fermi energy: 6.283 states/eV/cell
- Formation energy without anion corrections: -71 meV per atom

***

Entry 2:
The following is a DFT calculation (PBE-GGA) of a relaxed MgTlCl3 crystal.

Lattice parameters (Å, degrees): 7.1003 10.0682 7.0890 90.00 90.00 90.00
With the nearest neighbours (Å) after each atom.
Space group Pnma (No. 62)
Inequivalent atoms, fractional coordinates:
Mg1 0.0000 0.0000 0.0000 [4 per cell]  6 Cl 2.53
Tl1 0.0279 0.2500 0.4962 [4 per cell]  8 Cl 3.29-3.50
Cl1 0.0025 0.7500 0.0410 [4 per cell]  2 Mg 2.53
Cl2 0.2220 0.5207 0.7219 [8 per cell]  2 Mg 2.53

- DFT total energy: -17.03 eV per formula unit
- Relative energy among the computed polymorphs: 0.0217 eV per atom
- M_tot: 0.00 Bohr magnetons per cell
- Crystal system: orthorhombic
- DOS at the Fermi energy: 0.000 states/eV/cell
- Formation energy without anion corrections: -1505 meV per atom

***

Entry 3:
The following is a DFT calculation (PBE-GGA) of a relaxed MgTlCl2 crystal.

Lattice parameters (Å, degrees): 4.2289 4.2289 13.0307 90.00 90.00 90.00
With the nearest neighbours (Å) after each atom.
Space group I-4m2 (No. 119)
Inequivalent atoms, fractional coordinates:
Mg1 0.0000 0.0000 0.0000 [2 per cell]  4 Cl 2.99
Tl1 0.0000 0.5000 0.7500 [2 per cell]  4 Cl 2.99
Cl1 0.0000 0.0000 0.5000 [2 per cell]  4 Mg 2.99
Cl2 0.0000 0.5000 0.2500 [2 per cell]  4 Tl 2.99

- DFT total energy: -10.47 eV per formula unit
- Relative energy among the computed polymorphs: 0.5637 eV per atom
- M_tot: 0.01 Bohr magnetons per cell
- Crystal system: tetragonal
- DOS at the Fermi energy: 3.802 states/eV/cell
- Formation energy without anion corrections: -705 meV per atom

***

Entry 4:
The following is a DFT calculation (PBE-GGA) of a relaxed MgTlCl2 crystal.

Lattice parameters (Å, degrees): 3.6140 3.6140 8.9541 90.00 90.00 90.00
With the nearest neighbours (Å) after each atom.
Space group P4mm (No. 99)
Inequivalent atoms, fractional coordinates:
Mg1 0.0000 0.0000 0.0000 [1 per cell]  1 Cl 2.26
Tl1 0.5000 0.5000 0.4740 [1 per cell]  5 Cl 3.54, 4 Tl 3.61
Cl1 0.0000 0.0000 0.7476 [1 per cell]  1 Mg 2.26
Cl2 0.5000 0.5000 0.0781 [1 per cell]  4 Mg 2.65

- DFT total energy: -11.55 eV per formula unit
- Relative energy among the computed polymorphs: 0.2944 eV per atom
- M_tot: 0.00 Bohr magnetons per cell
- Crystal system: tetragonal
- DOS at the Fermi energy: 1.700 states/eV/cell
- Formation energy without anion corrections: -974 meV per atom

***

Entry 5:
The following is a DFT calculation (PBE-GGA) of a relaxed Mg5Tl3Cl12 crystal.

Lattice parameters (Å, degrees): 16.5604 16.5604 16.5604 90.00 90.00 90.00
With the nearest neighbours (Å) after each atom.
Space group Ia-3d (No. 230)
Inequivalent atoms, fractional coordinates:
Mg1 0.0000 0.0000 0.0000 [16 per cell]  6 Cl 2.59
Mg2 0.0000 0.2500 0.3750 [24 per cell]  4 Cl 2.41
Tl1 0.0000 0.2500 0.1250 [24 per cell]  8 Cl 3.29-3.43
Cl1 0.0366 0.0471 0.6442 [96 per cell]  2 Mg 2.41-2.59

- DFT total energy: -66.52 eV per formula unit
- M_tot: 0.00 Bohr magnetons per cell
- Crystal system: cubic
- DOS at the Fermi energy: 49.728 states/eV/cell
- Formation energy without anion corrections: -1464 meV per atom

***

Entry 6:
The following is a DFT calculation (PBE-GGA) of a relaxed MgTlCl2 crystal.

Lattice parameters (Å, degrees): 8.1087 8.2193 3.5945 90.00 109.83 90.00
With the nearest neighbours (Å) after each atom.
Space group C2/m (No. 12)
Inequivalent atoms, fractional coordinates:
Mg1 0.0000 0.0000 0.0000 [2 per cell]  4 Cl 3.01
Tl1 0.0000 0.5000 0.0000 [2 per cell]  4 Cl 3.01
Cl1 0.2500 0.2500 0.5000 [4 per cell]  2 Tl 3.01, 2 Mg 3.01

- DFT total energy: -10.59 eV per formula unit
- Relative energy among the computed polymorphs: 0.5340 eV per atom
- M_tot: 0.00 Bohr magnetons per cell
- Crystal system: monoclinic
- DOS at the Fermi energy: 2.714 states/eV/cell
- Formation energy without anion corrections: -735 meV per atom

***

Entry 7:
The following is a DFT calculation (PBE-GGA) of a relaxed MgTlCl3 crystal.

Lattice parameters (Å, degrees): 5.4889 5.4889 5.4889 90.00 90.00 90.00
With the nearest neighbours (Å) after each atom.
Space group Pm-3m (No. 221)
Inequivalent atoms, fractional coordinates:
Mg1 0.0000 0.0000 0.0000 [1 per cell]  12 Cl 3.88
Tl1 0.5000 0.5000 0.5000 [1 per cell]  6 Cl 2.74
Cl1 0.0000 0.5000 0.5000 [3 per cell]  2 Tl 2.74

- DFT total energy: -12.01 eV per formula unit
- Relative energy among the computed polymorphs: 1.0253 eV per atom
- M_tot: 0.96 Bohr magnetons per cell
- Crystal system: cubic
- DOS at the Fermi energy: 1.187 states/eV/cell
- Formation energy without anion corrections: -502 meV per atom

***

Entry 8:
The following is a DFT calculation (PBE-GGA) of a relaxed MgTl3Cl5 crystal.

Lattice parameters (Å, degrees): 8.4907 8.4907 15.1264 90.00 90.00 90.00
With the nearest neighbours (Å) after each atom.
Space group I4/mcm (No. 140)
Inequivalent atoms, fractional coordinates:
Mg1 0.0000 0.5000 0.2500 [4 per cell]  4 Cl 2.34
Tl1 0.0000 0.0000 0.2500 [4 per cell]  10 Cl 3.52-3.78
Tl2 0.1636 0.3364 0.0000 [8 per cell]  4 Cl 3.18-3.21
Cl1 0.0000 0.0000 0.0000 [4 per cell]  4 Tl 3.18
Cl2 0.1540 0.3460 0.3453 [16 per cell]  1 Mg 2.34

- DFT total energy: -29.44 eV per formula unit
- M_tot: 0.00 Bohr magnetons per cell
- Crystal system: tetragonal
- DOS at the Fermi energy: 0.000 states/eV/cell
- Formation energy without anion corrections: -1279 meV per atom

***

Question: Which value of DOS at the Fermi energy does entry 5 give?
Answer: 49.728 states/eV/cell

***

Question: Which formula does entry 2 have?
Answer: MgTlCl3

***

Question: Which of these has the highest DOS at the Fermi energy?
Answer: Mg5Tl3Cl12